# 1
Here is NbCdTe2 after structural relaxation from OQMD via LeMat-Bulk. Energies are from PBE-GGA.

```
NbCdTe2
1.0
0.000 3.649 3.649
3.649 0.000 3.649
3.649 3.649 0.000
Nb Cd Te
1 1 2
Direct
0.000 0.000 0.000 Nb
0.250 0.250 0.250 Cd
0.500 0.500 0.500 Te
0.750 0.750 0.750 Te
```

Crystal system ... cubic
Spin magnetization ... 2.0 μB per formula unit
E_tot ... -0.1380 Ha/atom
Calculated volume ... 97.2 Å³/cell

---

# 2
Here is NbCdTe after structural relaxation from OQMD via LeMat-Bulk. Energies are from PBE-GGA.

```
NbCdTe
1.0
0.000 3.352 3.352
3.352 0.000 3.352
3.352 3.352 0.000
Nb Cd Te
1 1 1
Direct
0.000 0.000 0.000 Nb
0.500 0.500 0.500 Cd
0.750 0.750 0.750 Te
```

Crystal system ... cubic
Spin magnetization ... 0.9 μB per formula unit
Energy above the lowest structure with this stoichiometry ... 0.2090 eV/atom
Calculated volume ... 75.3 Å³/cell

---

# 3
Here is Th2Nb2Cd after structural relaxation from OQMD via LeMat-Bulk. Energies are from PBE-GGA.

```
Th2Nb2Cd
1.0
-1.982 1.982 8.427
1.982 -1.982 8.427
1.982 1.982 -8.427
Th Nb Cd
2 2 1
Direct
0.104 0.104 0.000 Th
0.896 0.896 0.000 Th
0.250 0.750 0.500 Nb
0.750 0.250 0.500 Nb
0.500 0.500 0.000 Cd
```

Crystal system ... tetragonal
Spin magnetization ... 0.0 μB per formula unit
Calculated formation energy ... 0.394 eV per atom
Calculated volume ... 132.4 Å³/cell

---

# 4
Here is ThNbCd after structural relaxation from OQMD via LeMat-Bulk. Energies are from PBE-GGA.

```
ThNbCd
1.0
0.000 3.412 3.412
3.412 0.000 3.412
3.412 3.412 0.000
Th Nb Cd
1 1 1
Direct
0.000 0.000 0.000 Th
0.750 0.750 0.750 Nb
0.500 0.500 0.500 Cd
```

Crystal system ... cubic
Spin magnetization ... 1.1 μB per formula unit
Calculated formation energy ... 0.773 eV per atom
Calculated volume ... 79.4 Å³/cell

---

# 5
Here is NbTlCd after structural relaxation from OQMD via LeMat-Bulk. Energies are from PBE-GGA.

```
NbTlCd
1.0
0.000 3.334 3.334
3.334 0.000 3.334
3.334 3.334 0.000
Nb Tl Cd
1 1 1
Direct
0.000 0.000 0.000 Nb
0.750 0.750 0.750 Tl
0.500 0.500 0.500 Cd
```

Crystal system ... cubic
Spin magnetization ... 1.9 μB per formula unit
Energy above the lowest structure with this stoichiometry ... 0.0342 eV/atom
Calculated volume ... 74.2 Å³/cell

---

# 6
Here is Nb2TlCd after structural relaxation from OQMD via LeMat-Bulk. Energies are from PBE-GGA.

```
Nb2TlCd
1.0
0.000 3.438 3.438
3.438 0.000 3.438
3.438 3.438 0.000
Nb Tl Cd
2 1 1
Direct
0.000 0.000 0.000 Nb
0.250 0.250 0.250 Nb
0.500 0.500 0.500 Tl
0.750 0.750 0.750 Cd
```

Crystal system ... cubic
Spin magnetization ... 0.0 μB per formula unit
E_tot ... -0.1938 Ha/atom
Calculated volume ... 81.2 Å³/cell

---

# 7
Here is NbTlCd after structural relaxation from OQMD via LeMat-Bulk. Energies are from PBE-GGA.

```
NbTlCd
1.0
0.000 3.343 3.343
3.343 0.000 3.343
3.343 3.343 0.000
Nb Tl Cd
1 1 1
Direct
0.000 0.000 0.000 Nb
0.250 0.250 0.250 Tl
0.750 0.750 0.750 Cd
```

Crystal system ... cubic
Spin magnetization ... 0.0 μB per formula unit
Energy above the lowest structure with this stoichiometry ... 0.0000 eV/atom
Calculated volume ... 74.7 Å³/cell

---

# 8
Here is NbTl2Cd after structural relaxation from OQMD via LeMat-Bulk. Energies are from PBE-GGA.

```
NbTl2Cd
1.0
0.000 3.647 3.647
3.647 0.000 3.647
3.647 3.647 0.000
Nb Tl Cd
1 2 1
Direct
0.000 0.000 0.000 Nb
0.500 0.500 0.500 Tl
0.750 0.750 0.750 Tl
0.250 0.250 0.250 Cd
```

Crystal system ... cubic
Spin magnetization ... 2.8 μB per formula unit
E_tot ... -0.1196 Ha/atom
Calculated volume ... 97.0 Å³/cell

---

# 9
Here is TmNbCd after structural relaxation from OQMD via LeMat-Bulk. Energies are from PBE-GGA.

```
TmNbCd
1.0
0.000 3.416 3.416
3.416 0.000 3.416
3.416 3.416 0.000
Tm Nb Cd
1 1 1
Direct
0.000 0.000 0.000 Tm
0.750 0.750 0.750 Nb
0.500 0.500 0.500 Cd
```

Crystal system ... cubic
Spin magnetization ... 2.3 μB per formula unit
Calculated formation energy ... 0.864 eV per atom
Energy above the lowest structure with this stoichiometry ... 0.0000 eV/atom
Calculated volume ... 79.7 Å³/cell

---

# 10
Here is TmNbCd after structural relaxation from OQMD via LeMat-Bulk. Energies are from PBE-GGA.

```
TmNbCd
1.0
0.000 3.436 3.436
3.436 0.000 3.436
3.436 3.436 0.000
Tm Nb Cd
1 1 1
Direct
0.000 0.000 0.000 Tm
0.250 0.250 0.250 Nb
0.750 0.750 0.750 Cd
```

Crystal system ... cubic
Spin magnetization ... 2.9 μB per formula unit
Calculated formation energy ... 1.041 eV per atom
Energy above the lowest structure with this stoichiometry ... 0.1771 eV/atom
Calculated volume ... 81.1 Å³/cell

---

# 11
Here is UNbCd after structural relaxation from OQMD via LeMat-Bulk. Energies are from PBE-GGA.

```
UNbCd
1.0
0.000 3.298 3.298
3.298 0.000 3.298
3.298 3.298 0.000
U Nb Cd
1 1 1
Direct
0.000 0.000 0.000 U
0.750 0.750 0.750 Nb
0.500 0.500 0.500 Cd
```

Crystal system ... cubic
Spin magnetization ... 0.1 μB per formula unit
Calculated formation energy ... 1.003 eV per atom
Energy above the lowest structure with this stoichiometry ... 0.0000 eV/atom
Calculated volume ... 71.7 Å³/cell

---

# 12
Here is UNbCd after structural relaxation from OQMD via LeMat-Bulk. Energies are from PBE-GGA.

```
UNbCd
1.0
0.000 3.329 3.329
3.329 0.000 3.329
3.329 3.329 0.000
U Nb Cd
1 1 1
Direct
0.000 0.000 0.000 U
0.250 0.250 0.250 Nb
0.750 0.750 0.750 Cd
```

Crystal system ... cubic
Spin magnetization ... 0.4 μB per formula unit
Calculated formation energy ... 1.407 eV per atom
Energy above the lowest structure with this stoichiometry ... 0.4040 eV/atom
Calculated volume ... 73.8 Å³/cell

---

- Among the records above, which one has the highest spin magnetization?
  number 10

---

- Among the records above, which one has the highest spin magnetization?
  number 10